[1]
Computed, not measured: a relaxed structure of Pm2YNb at the PBE level of DFT.

Calculated values
symmetry	R-3m
DFT formation energy	0.5744	eV/atom

abc: 11.9085 11.9085 11.9085
angles: 16.20 16.20 16.20
Last column: nearest neighbours and their distance in Å.
Element x y z (fractional)
Pm1 0.0824 0.0824 0.0824  1 Nb 2.91
Pm2 0.9176 0.9176 0.9176  1 Nb 2.91
Y1 0.5000 0.5000 0.5000  6 Y 3.36, 6 Pm 3.55
Nb1 0.0000 0.0000 0.0000  2 Pm 2.91

---

[2]
Computed, not measured: a relaxed structure of PmNbZn2 at the PBE level of DFT.

Calculated values
offset from the most stable computed form	0.00	eV/f.u.
symmetry	P4/mmm
DFT formation energy	-0.0372	eV/atom

abc: 3.5170 3.5170 6.4457
angles: 90.00 90.00 90.00
Last column: nearest neighbours and their distance in Å.
Element x y z (fractional)
Pm1 0.0000 0.0000 0.0000  8 Zn 3.14, 2 Nb 3.22
Nb1 0.0000 0.0000 0.5000  8 Zn 2.81
Zn1 0.5000 0.5000 0.2966  1 Zn 2.62, 4 Nb 2.81
Zn2 0.5000 0.5000 0.7034  1 Zn 2.62, 4 Nb 2.81

---

[3]
Computed, not measured: a relaxed structure of PmNbZn4 at the PBE level of DFT.

Calculated values
symmetry	F-43m
DFT formation energy	-0.1265	eV/atom

abc: 5.3249 5.3249 5.3249
angles: 60.00 60.00 60.00
Last column: nearest neighbours and their distance in Å.
Element x y z (fractional)
Pm1 0.0000 0.0000 0.0000  12 Zn 3.13, 4 Nb 3.26
Nb1 0.7500 0.7500 0.7500  12 Zn 3.12, 4 Pm 3.26
Zn1 0.3764 0.3764 0.3764  6 Zn 2.63-2.69
Zn2 0.3764 0.3764 0.8707  6 Zn 2.63-2.69
Zn3 0.3764 0.8707 0.3764  6 Zn 2.63-2.69
Zn4 0.8707 0.3764 0.3764  6 Zn 2.63-2.69